Computed, not measured: a geometry-optimized VRhAu structure at the GGA-PBE level of DFT.

Lattice parameters (Å, degrees): 2.8136 4.6709 7.5638 79.94 79.34 72.53
Closest atoms and distances in Å follow each position.
Atoms (fractional coordinates):
V 0.9130 0.8911 0.1603  1 V 2.51, 5 Rh 2.58-2.60, 2 Au 2.77
V 0.2229 0.4503 0.9814  1 V 2.51, 5 Rh 2.58-2.60, 2 Au 2.77
Rh 0.5946 0.4134 0.2748  5 V 2.58-2.60, 2 Rh 2.81, 3 Au 2.87-2.88
Rh 0.5412 0.9281 0.8669  5 V 2.58-2.60, 2 Rh 2.81, 3 Au 2.87-2.88
Au 0.8959 0.4204 0.6633  5 Au 2.76-2.84, 2 V 2.77, 3 Rh 2.87-2.88
Au 0.2399 0.9211 0.4784  5 Au 2.76-2.84, 2 V 2.77, 3 Rh 2.87-2.88

Summary:
**ΔE_f**: -0.172 eV per atom
**Uncorrected energy**: -0.2482 Ha/atom
**Volume**: 92.4 Å³ per cell
**Distance to the lowest polymorph of the same formula**: 30.9 meV/atom
**Space group**: C2/m

***

Computed, not measured: a geometry-optimized V3RhAu structure at the GGA-PBE level of DFT.

Lattice parameters (Å, degrees): 4.5301 4.5301 4.5301 90.00 90.00 90.00
Closest atoms and distances in Å follow each position.
Atoms (fractional coordinates):
Au 0.5000 0.5000 0.5000  12 V 3.20
Rh 0.0000 0.0000 0.0000  6 V 2.27
V 0.0000 0.5000 0.0000  2 Rh 2.27
V 0.0000 0.0000 0.5000  2 Rh 2.27
V 0.5000 0.0000 0.0000  2 Rh 2.27

Summary:
**ΔE_f**: 0.946 eV per atom
**Uncorrected energy**: -0.2444 Ha/atom
**Volume**: 93.0 Å³ per cell
**Distance to the lowest polymorph of the same formula**: 0.0 meV/atom
**Space group**: Pm-3m

***

Computed, not measured: a geometry-optimized V2RhAu structure at the GGA-PBE level of DFT.

Lattice parameters (Å, degrees): 3.6674 3.6674 6.2456 72.93 72.93 60.00
Closest atoms and distances in Å follow each position.
Atoms (fractional coordinates):
V 0.0693 0.0693 0.7922  3 Rh 2.46, 3 Au 2.74
V 0.2649 0.2649 0.2054  3 Rh 2.42
Rh 0.6646 0.6646 0.0061  6 V 2.42-2.46
Au 0.5012 0.5012 0.4963  6 V 2.72-2.74, 1 Rh 2.88

Summary:
**ΔE_f**: 0.351 eV per atom
**Uncorrected energy**: -0.2523 Ha/atom
**Volume**: 68.4 Å³ per cell
**Space group**: R3m

***

Computed, not measured: a geometry-optimized V2RhAu structure at the GGA-PBE level of DFT.

Lattice parameters (Å, degrees): 6.9363 6.9363 5.5818 51.59 51.59 90.00
Closest atoms and distances in Å follow each position.
Atoms (fractional coordinates):
Au 0.0000 0.0000 0.0000  2 Rh 2.66, 4 V 2.69
Au 0.7500 0.2500 0.5000  2 Rh 2.66, 4 V 2.69
Rh 0.5000 0.5000 0.0000  4 V 2.41, 2 Au 2.66
Rh 0.2500 0.7500 0.5000  4 V 2.41, 2 Au 2.66
V 0.5955 0.1250 0.2500  2 Rh 2.41, 2 Au 2.69
V 0.1545 0.6250 0.2500  2 Rh 2.41, 2 Au 2.69
V 0.3750 0.4045 0.7500  2 Rh 2.41, 2 Au 2.69
V 0.8750 0.8455 0.7500  2 Rh 2.41, 2 Au 2.69

Summary:
**ΔE_f**: 0.266 eV per atom
**Uncorrected energy**: -0.2554 Ha/atom
**Volume**: 128.2 Å³ per cell
**Space group**: I-42d

***

Computed, not measured: a geometry-optimized VZnRhAu structure at the GGA-PBE level of DFT.

Lattice parameters (Å, degrees): 4.4027 4.4027 4.4027 60.00 60.00 60.00
Closest atoms and distances in Å follow each position.
Atoms (fractional coordinates):
Rh 0.2500 0.2500 0.2500  4 Zn 2.70, 4 V 2.70
Zn 0.0000 0.0000 0.0000  4 Rh 2.70, 4 Au 2.70
Au 0.7500 0.7500 0.7500  4 V 2.70, 4 Zn 2.70
V 0.5000 0.5000 0.5000  4 Au 2.70, 4 Rh 2.70

Summary:
**ΔE_f**: -0.127 eV per atom
**Uncorrected energy**: -0.1978 Ha/atom
**Volume**: 60.3 Å³ per cell
**Space group**: F-43m

***

Computed, not measured: a geometry-optimized RhWAu structure at the GGA-PBE level of DFT.

Lattice parameters (Å, degrees): 4.2892 4.2892 4.2892 60.00 60.00 60.00
Closest atoms and distances in Å follow each position.
Atoms (fractional coordinates):
Rh 0.2500 0.2500 0.2500  4 W 2.63, 4 Au 2.63
W 0.0000 0.0000 0.0000  4 Rh 2.63
Au 0.5000 0.5000 0.5000  4 Rh 2.63

Summary:
**ΔE_f**: 0.650 eV per atom
**Uncorrected energy**: -0.2650 Ha/atom
**Volume**: 55.8 Å³ per cell
**Distance to the lowest polymorph of the same formula**: 589.0 meV/atom
**Space group**: F-43m

***

Computed, not measured: a geometry-optimized RhWAu structure at the GGA-PBE level of DFT.

Lattice parameters (Å, degrees): 6.3038 6.3038 6.3038 154.02 154.02 37.06
Closest atoms and distances in Å follow each position.
Atoms (fractional coordinates):
Rh 0.3223 0.3223 0.0000  4 W 2.66, 4 Rh 2.83, 4 Au 2.94
W 0.6757 0.6757 0.0000  4 Rh 2.66, 4 W 2.83, 4 Au 2.89
Au 0.0019 0.0019 0.0000  4 Au 2.83, 4 W 2.89, 4 Rh 2.94

Summary:
**ΔE_f**: 0.061 eV per atom
**Uncorrected energy**: -0.2866 Ha/atom
**Volume**: 48.0 Å³ per cell
**Distance to the lowest polymorph of the same formula**: 0.0 meV/atom
**Space group**: I4mm

***

Computed, not measured: a geometry-optimized RhWAu structure at the GGA-PBE level of DFT.

Lattice parameters (Å, degrees): 2.8235 2.8235 7.0081 90.00 90.00 120.00
Closest atoms and distances in Å follow each position.
Atoms (fractional coordinates):
Rh 0.6667 0.3333 0.3511  3 W 2.65, 6 Rh 2.82, 3 Au 2.95
W 0.3333 0.6667 0.6488  3 Rh 2.65, 6 W 2.82, 3 Au 2.95
Au 0.0000 0.0000 0.0001  6 Au 2.82, 3 Rh 2.95, 3 W 2.95

Summary:
**ΔE_f**: 0.088 eV per atom
**Uncorrected energy**: -0.2856 Ha/atom
**Volume**: 48.4 Å³ per cell
**Distance to the lowest polymorph of the same formula**: 27.1 meV/atom
**Space group**: P3m1

***

Computed, not measured: a geometry-optimized Rh3WAu structure at the GGA-PBE level of DFT.

Lattice parameters (Å, degrees): 4.6819 4.6819 4.6819 90.00 90.00 90.00
Closest atoms and distances in Å follow each position.
Atoms (fractional coordinates):
Rh 0.0000 0.5000 0.0000  2 W 2.34
Rh 0.0000 0.0000 0.5000  2 W 2.34
Rh 0.5000 0.0000 0.0000  2 W 2.34
Au 0.5000 0.5000 0.5000  12 Rh 3.31
W 0.0000 0.0000 0.0000  6 Rh 2.34

Summary:
**ΔE_f**: 1.106 eV per atom
**Uncorrected energy**: -0.2407 Ha/atom
**Volume**: 102.6 Å³ per cell
**Distance to the lowest polymorph of the same formula**: 0.0 meV/atom
**Space group**: Pm-3m

***

Computed, not measured: a geometry-optimized Rh3WAu structure at the GGA-PBE level of DFT.

Lattice parameters (Å, degrees): 4.7326 4.7326 4.7326 90.00 90.00 90.00
Closest atoms and distances in Å follow each position.
Atoms (fractional coordinates):
Rh 0.0000 0.5000 0.0000  2 Au 2.37
Rh 0.0000 0.0000 0.5000  2 Au 2.37
Rh 0.5000 0.0000 0.0000  2 Au 2.37
Au 0.0000 0.0000 0.0000  6 Rh 2.37
W 0.5000 0.5000 0.5000  12 Rh 3.35

Summary:
**ΔE_f**: 2.280 eV per atom
**Uncorrected energy**: -0.1976 Ha/atom
**Volume**: 106.0 Å³ per cell
**Distance to the lowest polymorph of the same formula**: 1173.1 meV/atom
**Space group**: Pm-3m

***

Computed, not measured: a geometry-optimized RhW4Au structure at the GGA-PBE level of DFT.

Lattice parameters (Å, degrees): 5.2444 5.2444 5.2444 60.00 60.00 60.00
Closest atoms and distances in Å follow each position.
Atoms (fractional coordinates):
Rh 0.0000 0.0000 0.0000  12 W 3.08, 4 Au 3.21
W 0.8729 0.3757 0.3757  6 W 2.61-2.64
W 0.3757 0.3757 0.8729  6 W 2.61-2.64
W 0.3757 0.8729 0.3757  6 W 2.61-2.64
W 0.3757 0.3757 0.3757  6 W 2.61-2.64
Au 0.7500 0.7500 0.7500  12 W 3.07, 4 Rh 3.21

Summary:
**ΔE_f**: 0.514 eV per atom
**Uncorrected energy**: -0.3635 Ha/atom
**Volume**: 102.0 Å³ per cell
**Space group**: F-43m

***

Computed, not measured: a geometry-optimized RhWAu structure at the GGA-PBE level of DFT.

Lattice parameters (Å, degrees): 4.8921 4.8921 4.8921 140.01 140.01 57.84
Closest atoms and distances in Å follow each position.
Atoms (fractional coordinates):
Rh 0.3252 0.3252 0.0000  5 W 2.69-3.00, 5 Au 2.79-2.80
W 0.6760 0.6760 0.0000  5 Rh 2.69-3.00, 5 Au 2.76-2.81
Au 0.9988 0.9988 0.0000  5 W 2.76-2.81, 5 Rh 2.79-2.80

Summary:
**ΔE_f**: 0.168 eV per atom
**Uncorrected energy**: -0.2827 Ha/atom
**Volume**: 47.9 Å³ per cell
**Distance to the lowest polymorph of the same formula**: 106.9 meV/atom
**Space group**: I4mm

***

Computed, not measured: a geometry-optimized RhW3Au structure at the GGA-PBE level of DFT.

Lattice parameters (Å, degrees): 4.7797 4.7797 4.7797 90.00 90.00 90.00
Closest atoms and distances in Å follow each position.
Atoms (fractional coordinates):
Rh 0.5000 0.5000 0.5000  12 W 3.38
Au 0.0000 0.0000 0.0000  6 W 2.39
W 0.0000 0.5000 0.0000  2 Au 2.39
W 0.0000 0.0000 0.5000  2 Au 2.39
W 0.5000 0.0000 0.0000  2 Au 2.39

Summary:
**ΔE_f**: 2.795 eV per atom
**Uncorrected energy**: -0.2610 Ha/atom
**Volume**: 109.2 Å³ per cell
**Distance to the lowest polymorph of the same formula**: 847.7 meV/atom
**Space group**: Pm-3m